A geometry-optimized SmHo6Tm2 structure. Source: Alexandria via LeMat-Bulk, functional GGA-PBE.

The energy of formation comes out at 0.175 eV per formula unit. The calculation puts the relative energy among the computed polymorphs at 0 meV per atom. The value obtained for the calculated volume is 278 Å³/f.u.

The space group is P-1 (No. 2) and the conventional cell measures 3.5268, 7.8784 and 10.5593 Å, with angles of 77.18, 89.90 and 77.07 degrees. Symmetry generates all atoms from Sm at (0.0000, 0.0000, 0.0000), Ho at (0.0003, 0.0005, 0.3341), Ho at (0.3322, 0.3353, 0.7772), Ho at (0.3330, 0.3337, 0.4442) and Tm at (0.3330, 0.3345, 0.1114).